Record 1
DFT (GGA-PBE) results for CeLu2Be after structural relaxation.

The space group is P4/mmm (No. 123) and the conventional cell measures 3.3366, 3.3366 and 8.6419 Å, with angles of 90.00, 90.00 and 90.00 degrees. Symmetry generates all atoms from Ce at (0.0000, 0.0000, 0.0000), Lu at (0.5000, 0.5000, 0.3104) and Be at (0.0000, 0.0000, 0.5000).

The density of states at the Fermi level is 1.663 states/eV per atom. The calculation puts the volume at 96 Å³/cell. The calculated density is 8.614 Mg/m³. As for the formation enthalpy at 0 K: 0.0831 eV/atom.

---

Record 2
DFT (GGA-PBE) results for Sm3Zn2Hg4 after structural relaxation.

The space group is C2/m (No. 12) and the conventional cell measures 10.9950, 4.8426 and 9.0462 Å, with angles of 90.00, 116.41 and 90.00 degrees. Symmetry generates all atoms from Sm at (0.0000, 0.0000, 0.0000), Sm at (0.1625, 0.5000, 0.6669), Zn at (0.1130, 0.5000, 0.2844), Hg at (0.0681, 0.0000, 0.3915) and Hg at (0.2120, 0.5000, 0.0587).

The density of states at the Fermi level is 0.696 states/eV per atom. The calculation puts the volume at 431 Å³/cell. The calculated density is 10.657 Mg/m³. As for the formation enthalpy at 0 K: -0.4162 eV/atom.

---

Record 3
DFT (GGA-PBE) results for KTlSn after structural relaxation.

The space group is I4mm (No. 107) and the conventional cell measures 4.4903, 4.4903 and 21.6112 Å, with angles of 90.00, 90.00 and 90.00 degrees. Symmetry generates all atoms from K at (0.0000, 0.0000, 0.0000), K at (0.0000, 0.0000, 0.1980), Tl at (0.0000, 0.0000, 0.4401), Tl at (0.0000, 0.0000, 0.5936) and Sn at (0.0000, 0.5000, 0.3351).

The density of states at the Fermi level is 0.512 states/eV per atom. The calculation puts the volume at 436 Å³/cell. The calculated density is 5.521 Mg/m³. As for the formation enthalpy at 0 K: -0.0654 eV/atom.

---

Record 4
DFT (GGA-PBE) results for TmUBiN2 after structural relaxation.

The space group is I4mm (No. 107) and the conventional cell measures 3.9223, 3.9223 and 12.5762 Å, with angles of 90.00, 90.00 and 90.00 degrees. Symmetry generates all atoms from Tm at (0.0000, 0.0000, 0.0000), U at (0.0000, 0.0000, 0.3355), Bi at (0.0000, 0.0000, 0.6691) and N at (0.0000, 0.5000, 0.4078).

The value obtained for the formation energy from raw total energies is -1.2831 eV per atom. The density of states at the Fermi level is 0.608 states/eV per atom. The calculation puts the volume at 193 Å³/cell. The calculated density is 11.054 Mg/m³.

---

Record 5
DFT (GGA-PBE) results for MoAs2Cl after structural relaxation.

The space group is Cm (No. 8) and the conventional cell measures 9.0586, 3.3077 and 7.0900 Å, with angles of 90.00, 104.72 and 90.00 degrees. Symmetry generates all atoms from Mo at (0.0000, 0.0000, 0.0000), As at (0.2830, 0.0000, 0.9472), As at (0.4409, 0.0000, 0.7102) and Cl at (0.1273, 0.5000, 0.2622).

The value obtained for the formation energy from raw total energies is -0.1411 eV per atom. The density of states at the Fermi level is 0.510 states/eV per atom. The calculation puts the volume at 205 Å³/cell. The calculated density is 4.546 Mg/m³.

---

Record 6
DFT (GGA-PBE) results for Ti3AuC after structural relaxation.

The space group is P2_1/m (No. 11) and the conventional cell measures 6.0797, 3.1126 and 8.4370 Å, with angles of 90.00, 110.94 and 90.00 degrees. Symmetry generates all atoms from Ti at (0.0510, 0.2500, 0.3754), Ti at (0.3053, 0.2500, 0.9069), Ti at (0.4389, 0.7500, 0.6620), Au at (0.1885, 0.7500, 0.1381) and C at (0.1955, 0.2500, 0.6400).

The density of states at the Fermi level is 0.589 states/eV per atom. The calculation puts the volume at 149 Å³/cell. The calculated density is 7.853 Mg/m³. As for the formation enthalpy at 0 K: -0.5671 eV/atom.

---

Record 7
DFT (GGA-PBE) results for PrSm2Pu after structural relaxation.

The space group is R-3m (No. 166, hexagonal axes) and the conventional cell measures 3.5182, 3.5182 and 37.5461 Å, with angles of 90.00, 90.00 and 120.00 degrees. Symmetry generates all atoms from Pr at (0.0000, 0.0000, 0.0000), Sm at (0.0000, 0.0000, 0.4130) and Pu at (0.0000, 0.0000, 0.5000).

The density of states at the Fermi level is 3.109 states/eV per atom. The calculation puts the volume at 402 Å³/cell. The calculated density is 8.486 Mg/m³. As for the formation enthalpy at 0 K: 0.2770 eV/atom.

---

Record 8
DFT (GGA-PBE) results for Zr3TeO after structural relaxation.

The space group is Pm-3m (No. 221) and the conventional cell measures 4.5060, 4.5060 and 4.5060 Å, with angles of 90.00, 90.00 and 90.00 degrees. Symmetry generates all atoms from Zr at (0.0000, 0.0000, 0.5000), Te at (0.5000, 0.5000, 0.5000) and O at (0.0000, 0.0000, 0.0000).

The value obtained for the formation energy from raw total energies is -1.0902 eV per atom. The density of states at the Fermi level is 1.381 states/eV per atom. The calculation puts the volume at 91 Å³/cell. The calculated density is 7.574 Mg/m³.

---

Record 9
DFT (GGA-PBE) results for BaPr2In9 after structural relaxation.

The space group is P4/mmm (No. 123) and the conventional cell measures 4.8264, 4.8264 and 14.5486 Å, with angles of 90.00, 90.00 and 90.00 degrees. Symmetry generates all atoms from Ba at (0.0000, 0.0000, 0.0000), Pr at (0.0000, 0.0000, 0.3423), In at (0.0000, 0.5000, 0.1774), In at (0.0000, 0.5000, 0.5000), In at (0.5000, 0.5000, 0.0000) and In at (0.5000, 0.5000, 0.3359).

The density of states at the Fermi level is 0.553 states/eV per atom. The calculation puts the volume at 339 Å³/cell. The calculated density is 7.117 Mg/m³. As for the formation enthalpy at 0 K: -0.3922 eV/atom.

---

Record 10
DFT (GGA-PBE) results for In3IrCl after structural relaxation.

The space group is R-3c (No. 167, hexagonal axes) and the conventional cell measures 7.2052, 7.2052 and 18.3815 Å, with angles of 90.00, 90.00 and 120.00 degrees. Symmetry generates all atoms from In at (0.0000, 0.4492, 0.2500), Ir at (0.0000, 0.0000, 0.0000) and Cl at (0.0000, 0.0000, 0.2500).

The value obtained for the formation energy from raw total energies is -0.4345 eV per atom. The density of states at the Fermi level is 0.472 states/eV per atom. The calculation puts the volume at 826 Å³/cell. The calculated density is 6.897 Mg/m³.